A plane-wave DFT calculation with PBE-GGA was carried out for LaGa4Pd2 after structural relaxation.

Output
For the relative energy among the computed polymorphs, the calculation gives 0 meV/atom. The calculation puts the theoretical density at 8.0 g cm⁻³. Its density of states at the Fermi level is 0.3541 states/eV/atom. For the formation energy, the calculation gives -0.7067 eV/atom. The final energy is -4.624 eV per atom.

abc: 17.6683 4.4359 6.6712
angles: 90.00 90.00 90.00
Last column: nearest neighbours and their distance in Å.
Space group Pnma (No. 62)
One atom of each set of equivalent atoms:
1 La 0.1378 0.2500 0.0108 x4  10 Ga 3.09-3.40, 4 Pd 3.30-3.37
2 Ga 0.0368 0.7500 0.8219 x4  3 Pd 2.61-2.91, 2 Ga 2.80-2.86
3 Ga 0.0745 0.2500 0.4902 x4  4 Pd 2.56-2.80, 1 Ga 2.86
4 Ga 0.1831 0.7500 0.3242 x4  4 Pd 2.64-2.67, 1 Ga 2.65
5 Ga 0.1907 0.7500 0.7208 x4  3 Pd 2.59-2.62, 2 Ga 2.65-2.80
6 Pd 0.0352 0.7500 0.2574 x4  6 Ga 2.57-2.80
7 Pd 0.2188 0.2500 0.5267 x4  7 Ga 2.56-2.67


A plane-wave DFT calculation with PBE-GGA was carried out for TiCrMoPd after structural relaxation.

Output
The calculation puts the theoretical density at 8.4 g cm⁻³. Its density of states at the Fermi level is 0.2388 states/eV/atom. For the formation energy, the calculation gives -0.1225 eV/atom. The final energy is -8.508 eV per atom.

abc: 6.2051 6.2051 6.2051
angles: 90.00 90.00 90.00
Last column: nearest neighbours and their distance in Å.
Space group F-43m (No. 216)
One atom of each set of equivalent atoms:
1 Ti 0.0000 0.0000 0.0000 x4  4 Mo 2.69, 4 Pd 2.69
2 Cr 0.0000 0.0000 0.5000 x4  4 Pd 2.69, 4 Mo 2.69
3 Mo 0.2500 0.2500 0.2500 x4  4 Cr 2.69, 4 Ti 2.69
4 Pd 0.2500 0.2500 0.7500 x4  4 Cr 2.69, 4 Ti 2.69


A plane-wave DFT calculation with PBE-GGA was carried out for La2InCl after structural relaxation.

Output
For the relative energy among the computed polymorphs, the calculation gives 163 meV/atom. The calculation puts the formation energy from raw total energies at -3.3 eV/f.u. The calculation puts the theoretical density at 5.9 g cm⁻³. Its density of states at the Fermi level is 0.6150 states/eV/atom. The final energy is -4.447 eV per atom.

abc: 4.8908 6.0981 8.0497
angles: 90.00 90.00 90.00
Last column: nearest neighbours and their distance in Å.
Space group Immm (No. 71)
One atom of each set of equivalent atoms:
1 La 0.0000 0.0000 0.2263 x4  2 Cl 3.05, 2 In 3.29
2 In 0.0000 0.5000 0.0000 x2  8 La 3.29-3.55
3 Cl 0.0000 0.5000 0.5000 x2  4 La 3.05